1.
The following is a DFT calculation (PBE) of an optimized crystal structure of CaPr12Y7.

Electronic total energy, eV per atom: -4.588
Energy of formation from the pure elements, eV per atom: 0.64
Magnetization, μB/f.u.: 0.00

Cell: 10.217 10.217 10.217 Å, 109.47 109.47 109.47°
Fractional coordinates of all 20 atoms:
Ca (0.000, 0.000, 0.000)
Pr (0.000, 0.267, 0.733)
Pr (0.000, 0.733, 0.267)
Pr (0.267, 0.000, 0.733)
Pr (0.267, 0.267, 0.535)
Pr (0.267, 0.535, 0.267)
Pr (0.267, 0.733, 0.000)
Pr (0.465, 0.733, 0.733)
Pr (0.535, 0.267, 0.267)
Pr (0.733, 0.000, 0.267)
Pr (0.733, 0.267, 0.000)
Pr (0.733, 0.465, 0.733)
Pr (0.733, 0.733, 0.465)
Y (0.000, 0.000, 0.500)
Y (0.000, 0.500, 0.000)
Y (0.000, 0.500, 0.500)
Y (0.500, 0.000, 0.000)
Y (0.500, 0.000, 0.500)
Y (0.500, 0.500, 0.000)
Y (0.500, 0.500, 0.500)

***

2.
The following is a DFT calculation (PBE) of an optimized crystal structure of CaPr5Y5.

Electronic total energy, eV per atom: -4.998
Energy of formation from the pure elements, eV per atom: 0.30
Magnetization, μB/f.u.: 2.94

Cell: 6.277 6.277 11.872 Å, 90.00 90.00 120.00°
Fractional coordinates of all 11 atoms:
Ca (0.000, 0.000, 0.000)
Pr (0.000, 0.000, 0.312)
Pr (0.000, 0.000, 0.688)
Pr (0.333, 0.667, 0.170)
Pr (0.333, 0.667, 0.830)
Pr (0.667, 0.333, 0.000)
Y (0.001, 0.500, 0.500)
Y (0.500, 0.500, 0.500)
Y (0.500, 0.999, 0.500)
Y (0.667, 0.333, 0.264)
Y (0.667, 0.333, 0.736)

***

3.
The following is a DFT calculation (PBE) of an optimized crystal structure of CaPr5Y8.

Electronic total energy, eV per atom: -5.331
Energy of formation from the pure elements, eV per atom: 0.21
Magnetization, μB/f.u.: 0.00

Cell: 8.616 8.616 8.616 Å, 110.92 110.92 106.61°
Fractional coordinates of all 14 atoms:
Ca (0.000, 0.000, 0.000)
Pr (0.218, 0.612, 0.178)
Pr (0.388, 0.565, 0.606)
Pr (0.435, 0.040, 0.822)
Pr (0.750, 0.250, 0.500)
Pr (0.960, 0.782, 0.394)
Y (0.081, 0.667, 0.758)
Y (0.175, 0.277, 0.750)
Y (0.333, 0.090, 0.414)
Y (0.527, 0.424, 0.250)
Y (0.576, 0.825, 0.103)
Y (0.677, 0.919, 0.586)
Y (0.723, 0.473, 0.897)
Y (0.910, 0.323, 0.242)

***

4.
The following is a DFT calculation (PBE) of an optimized crystal structure of CaPr5Y4.

Electronic total energy, eV per atom: -5.152
Energy of formation from the pure elements, eV per atom: 0.02
Magnetization, μB/f.u.: 0.00

Cell: 3.672 3.672 26.003 Å, 90.00 90.00 90.00°
Fractional coordinates of all 10 atoms:
Ca (0.000, 0.000, 0.000)
Pr (0.500, 0.500, 0.108)
Pr (0.500, 0.500, 0.304)
Pr (0.500, 0.500, 0.500)
Pr (0.500, 0.500, 0.696)
Pr (0.500, 0.500, 0.892)
Y (0.000, 0.000, 0.204)
Y (0.000, 0.000, 0.402)
Y (0.000, 0.000, 0.598)
Y (0.000, 0.000, 0.796)

***

5.
The following is a DFT calculation (PBE) of an optimized crystal structure of Ca2Pr2Y5.

Electronic total energy, eV per atom: -4.944
Energy of formation from the pure elements, eV per atom: 0.15
Magnetization, μB/f.u.: 0.00

Cell: 10.678 10.678 8.856 Å, 102.73 102.73 19.04°
Fractional coordinates of all 9 atoms:
Ca (0.172, 0.172, 0.028)
Ca (0.828, 0.828, 0.972)
Pr (0.401, 0.401, 0.656)
Pr (0.599, 0.599, 0.344)
Y (0.000, 0.000, 0.000)
Y (0.056, 0.056, 0.667)
Y (0.217, 0.217, 0.634)
Y (0.783, 0.783, 0.366)
Y (0.944, 0.944, 0.333)

***

6.
The following is a DFT calculation (PBE) of an optimized crystal structure of CaPr8Y4.

Electronic total energy, eV per atom: -5.051
Energy of formation from the pure elements, eV per atom: 0.03
Magnetization, μB/f.u.: 0.00

Cell: 6.375 6.375 15.176 Å, 93.73 93.73 48.29°
Fractional coordinates of all 13 atoms:
Ca (0.000, 0.000, 0.000)
Pr (0.077, 0.077, 0.766)
Pr (0.233, 0.233, 0.310)
Pr (0.306, 0.306, 0.080)
Pr (0.461, 0.461, 0.615)
Pr (0.539, 0.539, 0.385)
Pr (0.694, 0.694, 0.920)
Pr (0.767, 0.767, 0.690)
Pr (0.923, 0.923, 0.234)
Y (0.152, 0.152, 0.537)
Y (0.380, 0.380, 0.842)
Y (0.620, 0.620, 0.158)
Y (0.848, 0.848, 0.463)